(1)
A plane-wave DFT calculation with GGA-PBEsol was carried out for an optimized crystal structure of Mo3SI.

```
data_Mo3SI
_chemical_formula_sum 'Mo3 S1 I1'
_space_group_name_H-M_alt 'P m -3 m'
_space_group_IT_number 221
_space_group_name_Hall '-P 4 2 3'
_cell_length_a 4.828
_cell_length_b 4.828
_cell_length_c 4.828
_cell_angle_alpha 90.00
_cell_angle_beta 90.00
_cell_angle_gamma 90.00
loop_
_atom_site_label
_atom_site_type_symbol
_atom_site_fract_x
_atom_site_fract_y
_atom_site_fract_z
Mo1 Mo 0.000 0.000 0.500
S1 S 0.500 0.500 0.500
I1 I 0.000 0.000 0.000
```

Output
Raw formation energy (meV per atom): 2427
Volume (Å³/atom): 22.51
Size of the total moment (μB per cell): 0.00

(2)
A plane-wave DFT calculation with GGA-PBEsol was carried out for an optimized crystal structure of SbMoSI2.

```
data_SbMoSI2
_chemical_formula_sum 'Sb1 Mo1 S1 I2'
_space_group_name_H-M_alt 'P 4/m m m'
_space_group_IT_number 123
_space_group_name_Hall '-P 4 2'
_cell_length_a 5.147
_cell_length_b 5.147
_cell_length_c 5.343
_cell_angle_alpha 90.00
_cell_angle_beta 90.00
_cell_angle_gamma 90.00
loop_
_atom_site_label
_atom_site_type_symbol
_atom_site_fract_x
_atom_site_fract_y
_atom_site_fract_z
Sb1 Sb 0.000 0.000 0.000
Mo1 Mo 0.000 0.000 0.500
S1 S 0.500 0.500 0.000
I1 I 0.000 0.500 0.500
```

Output
Raw formation energy (meV per atom): 699
Volume (Å³/atom): 28.31
Size of the total moment (μB per cell): 0.00

(3)
A plane-wave DFT calculation with GGA-PBEsol was carried out for an optimized crystal structure of Te2MoSI.

```
data_Te2MoSI
_chemical_formula_sum 'Te2 Mo1 S1 I1'
_space_group_name_H-M_alt 'P 4/m m m'
_space_group_IT_number 123
_space_group_name_Hall '-P 4 2'
_cell_length_a 5.213
_cell_length_b 5.213
_cell_length_c 5.181
_cell_angle_alpha 90.00
_cell_angle_beta 90.00
_cell_angle_gamma 90.00
loop_
_atom_site_label
_atom_site_type_symbol
_atom_site_fract_x
_atom_site_fract_y
_atom_site_fract_z
Te1 Te 0.000 0.500 0.000
Mo1 Mo 0.000 0.000 0.500
S1 S 0.500 0.500 0.000
I1 I 0.500 0.500 0.500
```

Output
Raw formation energy (meV per atom): 1141
Volume (Å³/atom): 28.16
Size of the total moment (μB per cell): 3.60

(4)
A plane-wave DFT calculation with GGA-PBEsol was carried out for an optimized crystal structure of SbMo3I.

```
data_SbMo3I
_chemical_formula_sum 'Sb1 Mo3 I1'
_space_group_name_H-M_alt 'P m -3 m'
_space_group_IT_number 221
_space_group_name_Hall '-P 4 2 3'
_cell_length_a 4.854
_cell_length_b 4.854
_cell_length_c 4.854
_cell_angle_alpha 90.00
_cell_angle_beta 90.00
_cell_angle_gamma 90.00
loop_
_atom_site_label
_atom_site_type_symbol
_atom_site_fract_x
_atom_site_fract_y
_atom_site_fract_z
Sb1 Sb 0.000 0.000 0.000
Mo1 Mo 0.000 0.500 0.500
I1 I 0.500 0.500 0.500
```

Output
Raw formation energy (meV per atom): 2029
Volume (Å³/atom): 22.87
Size of the total moment (μB per cell): 2.17

(5)
A plane-wave DFT calculation with GGA-PBEsol was carried out for an optimized crystal structure of ScSb2MoI.

```
data_ScSb2MoI
_chemical_formula_sum 'Sc1 Sb2 Mo1 I1'
_space_group_name_H-M_alt 'P 4/m m m'
_space_group_IT_number 123
_space_group_name_Hall '-P 4 2'
_cell_length_a 5.108
_cell_length_b 5.108
_cell_length_c 5.580
_cell_angle_alpha 90.00
_cell_angle_beta 90.00
_cell_angle_gamma 90.00
loop_
_atom_site_label
_atom_site_type_symbol
_atom_site_fract_x
_atom_site_fract_y
_atom_site_fract_z
Sc1 Sc 0.000 0.000 0.000
Sb1 Sb 0.000 0.500 0.500
Mo1 Mo 0.500 0.500 0.500
I1 I 0.500 0.500 0.000
```

Output
Raw formation energy (meV per atom): 550
Volume (Å³/atom): 29.11
Size of the total moment (μB per cell): 0.70

(6)
A plane-wave DFT calculation with GGA-PBEsol was carried out for an optimized crystal structure of Sb2MoSeI.

```
data_Sb2MoSeI
_chemical_formula_sum 'Sb2 Mo1 Se1 I1'
_space_group_name_H-M_alt 'P 4/m m m'
_space_group_IT_number 123
_space_group_name_Hall '-P 4 2'
_cell_length_a 5.219
_cell_length_b 5.219
_cell_length_c 5.083
_cell_angle_alpha 90.00
_cell_angle_beta 90.00
_cell_angle_gamma 90.00
loop_
_atom_site_label
_atom_site_type_symbol
_atom_site_fract_x
_atom_site_fract_y
_atom_site_fract_z
Sb1 Sb 0.000 0.500 0.000
Mo1 Mo 0.000 0.000 0.000
Se1 Se 0.500 0.500 0.500
I1 I 0.000 0.000 0.500
```

Output
Raw formation energy (meV per atom): 538
Volume (Å³/atom): 27.69
Size of the total moment (μB per cell): 0.00

(7)
A plane-wave DFT calculation with GGA-PBEsol was carried out for an optimized crystal structure of SrSb2MoI.

```
data_SrSb2MoI
_chemical_formula_sum 'Sr1 Sb2 Mo1 I1'
_space_group_name_H-M_alt 'P 4/m m m'
_space_group_IT_number 123
_space_group_name_Hall '-P 4 2'
_cell_length_a 5.945
_cell_length_b 5.945
_cell_length_c 5.914
_cell_angle_alpha 90.00
_cell_angle_beta 90.00
_cell_angle_gamma 90.00
loop_
_atom_site_label
_atom_site_type_symbol
_atom_site_fract_x
_atom_site_fract_y
_atom_site_fract_z
Sr1 Sr 0.000 0.000 0.000
Sb1 Sb 0.000 0.500 0.000
Mo1 Mo 0.500 0.500 0.500
I1 I 0.000 0.000 0.500
```

Output
Raw formation energy (meV per atom): 1381
Volume (Å³/atom): 41.80
Size of the total moment (μB per cell): 3.70

(8)
A plane-wave DFT calculation with GGA-PBEsol was carried out for an optimized crystal structure of Sb2TeMoI.

```
data_Sb2TeMoI
_chemical_formula_sum 'Sb2 Te1 Mo1 I1'
_space_group_name_H-M_alt 'P 4/m m m'
_space_group_IT_number 123
_space_group_name_Hall '-P 4 2'
_cell_length_a 5.660
_cell_length_b 5.660
_cell_length_c 5.611
_cell_angle_alpha 90.00
_cell_angle_beta 90.00
_cell_angle_gamma 90.00
loop_
_atom_site_label
_atom_site_type_symbol
_atom_site_fract_x
_atom_site_fract_y
_atom_site_fract_z
Sb1 Sb 0.000 0.500 0.000
Te1 Te 0.000 0.000 0.500
Mo1 Mo 0.500 0.500 0.500
I1 I 0.000 0.000 0.000
```

Output
Raw formation energy (meV per atom): 1827
Volume (Å³/atom): 35.95
Size of the total moment (μB per cell): 3.17